[1]
First-principles (PBE) data for Eu2MnP3Pt7 after structural relaxation, as listed in Alexandria.

Cell: 13.8297 13.8297 13.8297 Å, 162.96 162.96 24.18°
Last column: nearest neighbours and their distance in Å.
Positions (direct):
Eu 0.1653 0.1653 0.0000  6 P 3.07-3.14, 9 Pt 3.12-3.44
Eu 0.8347 0.8347 0.0000  6 P 3.07-3.14, 9 Pt 3.12-3.44
Mn 0.0000 0.0000 0.0000  12 Pt 2.82-2.90
P 0.3794 0.3794 0.0000  5 Pt 2.35-2.44
P 0.6206 0.6206 0.0000  5 Pt 2.35-2.44
P 0.7500 0.2500 0.5000  4 Pt 2.35
Pt 0.0728 0.5728 0.5000  2 P 2.42
Pt 0.2923 0.2923 0.0000  3 P 2.35
Pt 0.4272 0.9272 0.5000  2 P 2.42
Pt 0.5000 0.5000 0.0000  8 Pt 2.82-2.84, 4 Mn 2.90
Pt 0.5717 0.0717 0.5000  2 P 2.44
Pt 0.7077 0.7077 0.0000  3 P 2.35
Pt 0.9283 0.4283 0.5000  2 P 2.44

Properties
ΔE_f   -11.1 eV per formula unit
V   17.459 Å³/atom

---

[2]
First-principles (PBE) data for EuMnPd4 after structural relaxation, as listed in Alexandria.

Cell: 5.3808 5.3808 5.3808 Å, 60.00 60.00 60.00°
Last column: nearest neighbours and their distance in Å.
Positions (direct):
Eu 0.0000 0.0000 0.0000  12 Pd 3.16, 4 Mn 3.30
Mn 0.7500 0.7500 0.7500  12 Pd 3.15, 4 Eu 3.30
Pd 0.3755 0.3755 0.3755  6 Pd 2.68-2.70
Pd 0.3755 0.3755 0.8736  6 Pd 2.68-2.70
Pd 0.3755 0.8736 0.3755  6 Pd 2.68-2.70
Pd 0.8736 0.3755 0.3755  6 Pd 2.68-2.70

Properties
ΔE_f   -1.9 eV per formula unit
V   18.360 Å³/atom

---

[3]
First-principles (PBE) data for Pr3EuMn after structural relaxation, as listed in Alexandria.

Cell: 5.5537 5.5537 5.5537 Å, 90.00 90.00 90.00°
Last column: nearest neighbours and their distance in Å.
Positions (direct):
Pr 0.0000 0.0000 0.5000  2 Mn 2.78
Pr 0.0000 0.5000 0.0000  2 Mn 2.78
Pr 0.5000 0.0000 0.0000  2 Mn 2.78
Eu 0.5000 0.5000 0.5000  12 Pr 3.93
Mn 0.0000 0.0000 0.0000  6 Pr 2.78

Properties
ΔE_f   1.2 eV per formula unit
V   34.259 Å³/atom

---

[4]
First-principles (PBE) data for EuMnPt2 after structural relaxation, as listed in Alexandria.

Cell: 3.2838 3.2838 6.9970 Å, 90.00 90.00 90.00°
Last column: nearest neighbours and their distance in Å.
Positions (direct):
Eu 0.0000 0.0000 0.0000  8 Pt 3.11, 4 Eu 3.28
Mn 0.0000 0.0000 0.5000  8 Pt 2.72
Pt 0.5000 0.5000 0.2962  4 Mn 2.72, 1 Pt 2.85
Pt 0.5000 0.5000 0.7038  4 Mn 2.72, 1 Pt 2.85

Properties
ΔE_f   -2.1 eV per formula unit
V   18.863 Å³/atom

---

[5]
First-principles (PBE) data for EuPuMn2 after structural relaxation, as listed in Alexandria.

Cell: 3.4398 3.4398 7.1746 Å, 90.00 90.00 90.00°
Last column: nearest neighbours and their distance in Å.
Positions (direct):
Eu 0.0000 0.0000 0.0000  8 Mn 3.30, 4 Eu 3.44, 2 Pu 3.59
Pu 0.0000 0.0000 0.5000  8 Mn 2.78
Mn 0.5000 0.5000 0.3117  1 Mn 2.70, 4 Pu 2.78
Mn 0.5000 0.5000 0.6883  1 Mn 2.70, 4 Pu 2.78

Properties
ΔE_f   0.8 eV per formula unit
V   21.223 Å³/atom

---

[6]
First-principles (PBE) data for EuMnRh2 after structural relaxation, as listed in Alexandria.

Cell: 3.1974 3.1974 6.8785 Å, 90.00 90.00 90.00°
Last column: nearest neighbours and their distance in Å.
Positions (direct):
Eu 0.0000 0.0000 0.0000  8 Rh 3.04, 4 Eu 3.20
Mn 0.0000 0.0000 0.5000  8 Rh 2.67
Rh 0.5000 0.5000 0.2949  4 Mn 2.67, 1 Rh 2.82
Rh 0.5000 0.5000 0.7051  4 Mn 2.67, 1 Rh 2.82

Properties
ΔE_f   -0.6 eV per formula unit
Energy above the most stable polymorph in this dataset   0 meV/atom
V   17.581 Å³/atom

---

[7]
First-principles (PBE) data for EuMnRh2 after structural relaxation, as listed in Alexandria.

Cell: 4.6291 4.6291 4.6291 Å, 60.00 60.00 60.00°
Last column: nearest neighbours and their distance in Å.
Positions (direct):
Eu 0.0000 0.0000 0.0000  8 Rh 2.83
Mn 0.5000 0.5000 0.5000  8 Rh 2.83
Rh 0.2500 0.2500 0.2500  4 Mn 2.83, 4 Eu 2.83
Rh 0.7500 0.7500 0.7500  4 Mn 2.83, 4 Eu 2.83

Properties
ΔE_f   -0.5 eV per formula unit
Energy above the most stable polymorph in this dataset   31 meV/atom
V   17.535 Å³/atom

---

[8]
First-principles (PBE) data for Eu3Mn5S12 after structural relaxation, as listed in Alexandria.

Cell: 12.9266 12.9266 12.9266 Å, 109.47 109.47 109.47°
Last column: nearest neighbours and their distance in Å.
Positions (direct):
Eu 0.1250 0.2500 0.3750  8 S 2.94-2.99
Eu 0.1250 0.3750 0.7500  8 S 2.94-2.99
Eu 0.2500 0.3750 0.1250  8 S 2.94-2.99
Eu 0.2500 0.8750 0.6250  8 S 2.94-2.99
Eu 0.3750 0.1250 0.2500  8 S 2.94-2.99
Eu 0.3750 0.7500 0.1250  8 S 2.94-2.99
Eu 0.6250 0.2500 0.8750  8 S 2.94-2.99
Eu 0.6250 0.8750 0.7500  8 S 2.94-2.99
Eu 0.7500 0.1250 0.3750  8 S 2.94-2.99
Eu 0.7500 0.6250 0.8750  8 S 2.94-2.99
Eu 0.8750 0.6250 0.2500  8 S 2.94-2.99
Eu 0.8750 0.7500 0.6250  8 S 2.94-2.99
Mn 0.0000 0.0000 0.0000  6 S 2.34
Mn 0.0000 0.0000 0.5000  6 S 2.34
Mn 0.0000 0.5000 0.0000  6 S 2.34
Mn 0.0000 0.5000 0.5000  6 S 2.34
Mn 0.1250 0.7500 0.8750  4 S 2.25
Mn 0.1250 0.8750 0.2500  4 S 2.25
Mn 0.2500 0.1250 0.8750  4 S 2.25
Mn 0.2500 0.6250 0.3750  4 S 2.25
Mn 0.3750 0.2500 0.6250  4 S 2.25
Mn 0.3750 0.6250 0.7500  4 S 2.25
Mn 0.5000 0.0000 0.0000  6 S 2.34
Mn 0.5000 0.0000 0.5000  6 S 2.34
Mn 0.5000 0.5000 0.0000  6 S 2.34
Mn 0.5000 0.5000 0.5000  6 S 2.34
Mn 0.6250 0.3750 0.2500  4 S 2.25
Mn 0.6250 0.7500 0.3750  4 S 2.25
Mn 0.7500 0.3750 0.6250  4 S 2.25
Mn 0.7500 0.8750 0.1250  4 S 2.25
Mn 0.8750 0.1250 0.7500  4 S 2.25
Mn 0.8750 0.2500 0.1250  4 S 2.25
S 0.0212 0.1969 0.1117  2 Mn 2.25-2.34
S 0.0212 0.3243 0.9095  2 Mn 2.25-2.34
S 0.0852 0.6969 0.6757  2 Mn 2.25-2.34
S 0.0852 0.8883 0.4095  2 Mn 2.25-2.34
S 0.0905 0.6117 0.4148  2 Mn 2.25-2.34
S 0.0905 0.9788 0.6757  2 Mn 2.25-2.34
S 0.1117 0.0212 0.1969  2 Mn 2.25-2.34
S 0.1117 0.5905 0.9148  2 Mn 2.25-2.34
S 0.1757 0.1969 0.5852  2 Mn 2.25-2.34
S 0.1757 0.4788 0.5905  2 Mn 2.25-2.34
S 0.1969 0.1117 0.0212  2 Mn 2.25-2.34
S 0.1969 0.5852 0.1757  2 Mn 2.25-2.34
S 0.3031 0.3243 0.9148  2 Mn 2.25-2.34
S 0.3031 0.4788 0.3883  2 Mn 2.25-2.34
S 0.3243 0.9095 0.0212  2 Mn 2.25-2.34
S 0.3243 0.9148 0.3031  2 Mn 2.25-2.34
S 0.3883 0.3031 0.4788  2 Mn 2.25-2.34
S 0.3883 0.5852 0.9095  2 Mn 2.25-2.34
S 0.4095 0.0852 0.8883  2 Mn 2.25-2.34
S 0.4095 0.8243 0.5212  2 Mn 2.25-2.34
S 0.4148 0.0905 0.6117  2 Mn 2.25-2.34
S 0.4148 0.8243 0.8031  2 Mn 2.25-2.34
S 0.4788 0.3883 0.3031  2 Mn 2.25-2.34
S 0.4788 0.5905 0.1757  2 Mn 2.25-2.34
S 0.5212 0.4095 0.8243  2 Mn 2.25-2.34
S 0.5212 0.6117 0.6969  2 Mn 2.25-2.34
S 0.5852 0.1757 0.1969  2 Mn 2.25-2.34
S 0.5852 0.9095 0.3883  2 Mn 2.25-2.34
S 0.5905 0.1757 0.4788  2 Mn 2.25-2.34
S 0.5905 0.9148 0.1117  2 Mn 2.25-2.34
S 0.6117 0.4148 0.0905  2 Mn 2.25-2.34
S 0.6117 0.6969 0.5212  2 Mn 2.25-2.34
S 0.6757 0.0852 0.6969  2 Mn 2.25-2.34
S 0.6757 0.0905 0.9788  2 Mn 2.25-2.34
S 0.6969 0.5212 0.6117  2 Mn 2.25-2.34
S 0.6969 0.6757 0.0852  2 Mn 2.25-2.34
S 0.8031 0.4148 0.8243  2 Mn 2.25-2.34
S 0.8031 0.8883 0.9788  2 Mn 2.25-2.34
S 0.8243 0.5212 0.4095  2 Mn 2.25-2.34
S 0.8243 0.8031 0.4148  2 Mn 2.25-2.34
S 0.8883 0.4095 0.0852  2 Mn 2.25-2.34
S 0.8883 0.9788 0.8031  2 Mn 2.25-2.34
S 0.9095 0.0212 0.3243  2 Mn 2.25-2.34
S 0.9095 0.3883 0.5852  2 Mn 2.25-2.34
S 0.9148 0.1117 0.5905  2 Mn 2.25-2.34
S 0.9148 0.3031 0.3243  2 Mn 2.25-2.34
S 0.9788 0.6757 0.0905  2 Mn 2.25-2.34
S 0.9788 0.8031 0.8883  2 Mn 2.25-2.34

Properties
Formation energy (no corrections)   -18.8 eV/f.u.
V   20.785 Å³/atom

---

- Which value of V does entry 4 give?
  18.863 Å³/atom

---

- Which value of V does entry 7 give?
  17.535 Å³/atom

---

- Which of these has the lowest V?
  Eu2MnP3Pt7

---

- V of number 7 (EuMnRh2)?
  17.535 Å³/atom